Entry 1:
Entry from the Alexandria database: a geometry-optimized LiNd2Zn2O6 structure (PBE).

Structure (POSCAR):
```
LiNd2Zn2O6
1.0
5.821 0.000 0.000
2.911 5.042 0.000
2.911 1.681 5.442
O Zn Li Nd
6 2 1 2
Direct
0.244 0.793 0.719
0.244 0.244 0.719
0.756 0.756 0.281
0.207 0.756 0.281
0.756 0.207 0.281
0.793 0.244 0.719
0.419 0.419 0.743
0.581 0.581 0.257
0.000 0.000 0.000
0.198 0.198 0.405
0.802 0.802 0.595
```

Uncorrected formation energy = -177 kJ per mole of atoms
V = 14.5 A^3/atom
Total moment = 0.07 μB/atom

=====

Entry 2:
Entry from the Alexandria database: a geometry-optimized LiNd2Os structure (PBE).

Structure (POSCAR):
```
LiNd2Os
1.0
-0.370 1.130 3.299
2.258 -2.451 1.093
6.408 5.399 -1.131
Nd Os Li
2 1 1
Direct
0.000 0.000 0.795
0.000 0.000 0.205
0.500 0.500 0.000
0.500 0.500 0.500
```

V = 26.0 A^3/atom
Formation energy = 0.004 eV/atom
Total moment = 0.00 μB/atom
Energy above the most stable polymorph in this dataset = 80 meV per atom

=====

Entry 3:
Entry from the Alexandria database: a geometry-optimized LiNd3Os structure (PBE).

Structure (POSCAR):
```
LiNd3Os
1.0
5.609 0.000 0.000
0.000 5.609 0.000
0.000 0.000 5.609
Li Nd Os
1 3 1
Direct
0.500 0.500 0.500
0.000 0.500 0.000
0.500 0.000 0.000
0.000 0.000 0.500
0.000 0.000 0.000
```

V = 35.3 A^3/atom
Formation energy = 0.120 eV/atom
Total moment = 0.00 μB/atom

=====

Entry 4:
Entry from the Alexandria database: a geometry-optimized LiNd2Os structure (PBE).

Structure (POSCAR):
```
LiNd2Os
1.0
5.060 0.000 0.000
2.530 4.383 0.000
2.530 1.461 4.132
Nd Os Li
2 1 1
Direct
0.750 0.750 0.750
0.250 0.250 0.250
0.000 0.000 0.000
0.500 0.500 0.500
```

V = 22.9 A^3/atom
Formation energy = -0.076 eV/atom
Total moment = 0.00 μB/atom
Energy above the most stable polymorph in this dataset = 0 meV per atom